# Sc2ZnCrH, relaxed, DFT PBE
# DFT total energy: -5.5146 eV/atom
data_Sc2ZnCrH
_cell_length_a 4.5682
_cell_length_b 4.5682
_cell_length_c 3.5829
_cell_angle_alpha 90.00
_cell_angle_beta 90.00
_cell_angle_gamma 90.00
_symmetry_space_group_name_H-M 'P 4/m m m'
_symmetry_Int_Tables_number 123
_symmetry_space_group_name_Hall '-P 4 2'
loop_
_atom_site_label
_atom_site_type_symbol
_atom_site_fract_x
_atom_site_fract_y
_atom_site_fract_z
_atom_site_occupancy
Sc1 Sc 0.0000 0.5000 0.0000 1
Zn1 Zn 0.0000 0.0000 0.5000 1
Cr1 Cr 0.5000 0.5000 0.5000 1
H1 H 0.5000 0.5000 0.0000 1


# Cr3HSe, relaxed, DFT PBE
# E above lowest polymorph: 0 meV per atom
data_Cr3HSe
_cell_length_a 3.7746
_cell_length_b 3.7746
_cell_length_c 3.7746
_cell_angle_alpha 90.00
_cell_angle_beta 90.00
_cell_angle_gamma 90.00
_symmetry_space_group_name_H-M 'P m -3 m'
_symmetry_Int_Tables_number 221
_symmetry_space_group_name_Hall '-P 4 2 3'
loop_
_atom_site_label
_atom_site_type_symbol
_atom_site_fract_x
_atom_site_fract_y
_atom_site_fract_z
_atom_site_occupancy
Cr1 Cr 0.0000 0.0000 0.5000 1
H1 H 0.0000 0.0000 0.0000 1
Se1 Se 0.5000 0.5000 0.5000 1


# Cr3HSe, relaxed, DFT PBE
# E above lowest polymorph: 1071 meV per atom
data_Cr3HSe
_cell_length_a 4.8348
_cell_length_b 4.8348
_cell_length_c 4.8348
_cell_angle_alpha 90.00
_cell_angle_beta 90.00
_cell_angle_gamma 90.00
_symmetry_space_group_name_H-M 'P m -3 m'
_symmetry_Int_Tables_number 221
_symmetry_space_group_name_Hall '-P 4 2 3'
loop_
_atom_site_label
_atom_site_type_symbol
_atom_site_fract_x
_atom_site_fract_y
_atom_site_fract_z
_atom_site_occupancy
Cr1 Cr 0.0000 0.0000 0.5000 1
H1 H 0.5000 0.5000 0.5000 1
Se1 Se 0.0000 0.0000 0.0000 1


Record order is preserved below.
Magnetic moment: 2.33 4.99 13.00 μB/cell